# 1
{"formula": "RuPt2Br", "functional": "PBEsol", "state": "relaxed", "cell": [[1.376, -2.418, 0.000], [1.376, 2.418, 0.000], [0.000, 0.000, 9.763]], "species": ["Ru", "Pt", "Pt", "Br"], "fractional_positions": [[0.000, 0.000, 0.000], [0.500, 0.500, 0.229], [0.500, 0.500, 0.771], [0.000, 0.000, 0.500]], "e_above_lowest_polymorph_mev_per_atom": 69, "magmom_total_mub_per_atom": 0.00, "e_form_raw_mev_per_atom": 549, "spacegroup": "No. 65"}

***

# 2
{"formula": "RuPt2Br", "functional": "PBEsol", "state": "relaxed", "cell": [[-1.961, 1.961, 4.080], [1.961, -1.961, 4.080], [1.961, 1.961, -4.080]], "species": ["Ru", "Pt", "Pt", "Br"], "fractional_positions": [[0.000, 0.000, 0.000], [0.250, 0.750, 0.500], [0.750, 0.250, 0.500], [0.500, 0.500, 0.000]], "e_above_lowest_polymorph_mev_per_atom": 376, "magmom_total_mub_per_atom": 0.01, "e_form_raw_mev_per_atom": 856, "spacegroup": "No. 139"}

***

# 3
{"formula": "Pt2SBr", "functional": "PBEsol", "state": "relaxed", "cell": [[0.000, 3.182, 3.182], [3.182, 0.000, 3.182], [3.182, 3.182, 0.000]], "species": ["Pt", "Pt", "S", "Br"], "fractional_positions": [[0.250, 0.250, 0.250], [0.750, 0.750, 0.750], [0.000, 0.000, 0.000], [0.500, 0.500, 0.500]], "magmom_total_mub_per_atom": 0.00, "e_form_raw_mev_per_atom": 657, "spacegroup": "No. 225"}

***

# 4
{"formula": "PtSe2SBr", "functional": "PBEsol", "state": "relaxed", "cell": [[4.867, 0.000, 0.000], [0.000, 4.867, 0.000], [0.000, 0.000, 4.947]], "species": ["Pt", "Se", "Se", "S", "Br"], "fractional_positions": [[0.000, 0.000, 0.000], [0.000, 0.500, 0.000], [0.500, 0.000, 0.000], [0.500, 0.500, 0.500], [0.000, 0.000, 0.500]], "magmom_total_mub_per_atom": 0.00, "e_form_raw_mev_per_atom": 689, "spacegroup": "No. 123"}

***

# 5
{"formula": "SbPtBr", "functional": "PBEsol", "state": "relaxed", "cell": [[0.000, 3.333, 3.333], [3.333, 0.000, 3.333], [3.333, 3.333, 0.000]], "species": ["Sb", "Pt", "Br"], "fractional_positions": [[0.000, 0.000, 0.000], [0.750, 0.750, 0.750], [0.250, 0.250, 0.250]], "magmom_total_mub_per_atom": 0.00, "e_form_raw_mev_per_atom": 384, "spacegroup": "No. 216"}

***

# 6
{"formula": "SbPtBr2", "functional": "PBEsol", "state": "relaxed", "cell": [[0.000, 3.472, 3.472], [3.472, 0.000, 3.472], [3.472, 3.472, 0.000]], "species": ["Sb", "Pt", "Br", "Br"], "fractional_positions": [[0.000, 0.000, 0.000], [0.750, 0.750, 0.750], [0.250, 0.250, 0.250], [0.500, 0.500, 0.500]], "magmom_total_mub_per_atom": 0.00, "e_form_raw_mev_per_atom": 313, "spacegroup": "No. 216"}

***

# 7
{"formula": "SbTe2PtBr", "functional": "PBEsol", "state": "relaxed", "cell": [[5.255, 0.000, 0.000], [0.000, 5.255, 0.000], [0.000, 0.000, 5.278]], "species": ["Sb", "Te", "Te", "Pt", "Br"], "fractional_positions": [[0.000, 0.000, 0.000], [0.000, 0.500, 0.500], [0.500, 0.000, 0.500], [0.000, 0.000, 0.500], [0.500, 0.500, 0.000]], "magmom_total_mub_per_atom": 0.00, "e_form_raw_mev_per_atom": 351, "spacegroup": "No. 123"}

***

# 8
{"formula": "ScTi2PtBr", "functional": "PBEsol", "state": "relaxed", "cell": [[4.838, 0.000, 0.000], [0.000, 4.838, 0.000], [0.000, 0.000, 5.121]], "species": ["Sc", "Ti", "Ti", "Pt", "Br"], "fractional_positions": [[0.000, 0.000, 0.000], [0.000, 0.500, 0.500], [0.500, 0.000, 0.500], [0.000, 0.000, 0.500], [0.500, 0.500, 0.000]], "magmom_total_mub_per_atom": 0.46, "e_form_raw_mev_per_atom": 66, "spacegroup": "No. 123"}